The following is a DFT calculation (GGA-PBE) of a relaxed Tb3SbH2 crystal.

a b c (Å): 3.9936 6.1573 11.3303
angles (deg): 107.52 100.15 90.00
With the nearest neighbours (Å) after each atom.
Fractional coordinates of all 12 atoms:
Tb1 0.9581 0.1964 0.9162  2 H 2.25-2.29
H1 0.7083 0.3981 0.4166  4 Tb 2.20-2.33
Tb2 0.6005 0.3505 0.2010  3 H 2.30-2.33
Tb3 0.3995 0.6495 0.7990  3 H 2.30-2.33
Tb4 0.0419 0.8036 0.0838  2 H 2.25-2.29
Sb1 0.3494 0.1041 0.6988  1 H 2.96, 7 Tb 3.05-3.32
H2 0.0585 0.1895 0.1169  4 Tb 2.25-2.30
H3 0.9415 0.8105 0.8831  4 Tb 2.25-2.30
Tb5 0.2300 0.2473 0.4601  3 H 2.20-2.32
Tb6 0.7700 0.7527 0.5399  3 H 2.20-2.32
Sb2 0.6506 0.8959 0.3012  1 H 2.96, 7 Tb 3.05-3.32
H4 0.2917 0.6019 0.5834  4 Tb 2.20-2.33

symmetry = C2/m
electronic total energy = -4.735 eV per atom